## MgB4Mo (PBE-GGA)

Data for MgB4Mo after structural relaxation.

Results
As for the excess energy over the best structure of this formula in the dataset: 0.00 eV per formula unit. The space group is Immm. The calculated total energy is -41.06 eV for the cell shown.

Lattice parameters (Å, degrees): 4.5082 4.5082 4.5082 140.74 108.33 84.90
Positions (direct):
Mo 0.5000 0.5000 0.0000
B 0.9142 0.2521 0.6621
B 0.4100 0.7479 0.6621
B 0.0858 0.7479 0.3379
B 0.5900 0.2521 0.3379
Mg 0.0000 0.0000 0.0000

=====

## MgB4Mo (PBE-GGA)

Data for MgB4Mo after structural relaxation.

Results
As for the excess energy over the best structure of this formula in the dataset: 0.20 eV per formula unit. The space group is P6/mmm. The calculated total energy is -40.86 eV for the cell shown.

Lattice parameters (Å, degrees): 3.0051 3.0051 6.9844 90.00 90.00 120.00
Positions (direct):
B 0.3333 0.6667 0.2575
B 0.6667 0.3333 0.7428
B 0.3333 0.6667 0.7425
B 0.6667 0.3333 0.2572
Mg 0.0000 0.0000 0.0000
Mo 0.0000 0.0000 0.5000

=====

## MgReBMo (PBE-GGA)

Data for MgReBMo after structural relaxation.

Results
As for the excess energy over the best structure of this formula in the dataset: 0.00 eV per formula unit. The space group is F-43m. The calculated total energy is -29.51 eV for the cell shown.

Lattice parameters (Å, degrees): 4.2195 4.2195 4.2195 60.00 60.00 60.00
Positions (direct):
Mo 0.0000 0.0000 0.0000
Mg 0.7500 0.7500 0.7500
B 0.5000 0.5000 0.5000
Re 0.2500 0.2500 0.2500

=====

## MgReBMo (PBE-GGA)

Data for MgReBMo after structural relaxation.

Results
As for the excess energy over the best structure of this formula in the dataset: 1.69 eV per formula unit. The space group is F-43m. The calculated total energy is -27.83 eV for the cell shown.

Lattice parameters (Å, degrees): 4.2000 4.2000 4.2000 60.00 60.00 60.00
Positions (direct):
Re 0.5000 0.5000 0.5000
Mo 0.0000 0.0000 0.0000
B 0.2500 0.2500 0.2500
Mg 0.7500 0.7500 0.7500

=====

## Mg2NbB (PBE-GGA)

Data for Mg2NbB after structural relaxation.

Results
The space group is F-43m. The calculated total energy is -16.81 eV for the cell shown.

Lattice parameters (Å, degrees): 4.4157 4.4157 4.4157 60.00 60.00 60.00
Positions (direct):
Nb 0.2500 0.2500 0.2500
Mg 0.7500 0.7500 0.7500
Mg 0.0000 0.0000 0.0000
B 0.5000 0.5000 0.5000

=====

## Mg2NbB6 (PBE-GGA)

Data for Mg2NbB6 after structural relaxation.

Results
The space group is Pbam. The calculated total energy is -218.54 eV for the cell shown.

Lattice parameters (Å, degrees): 9.1839 11.2602 3.4886 90.00 90.00 90.00
Positions (direct):
Nb 0.8520 0.8200 0.0000
Nb 0.6480 0.3200 0.0000
Nb 0.3520 0.6800 0.0000
Nb 0.1480 0.1800 0.0000
B 0.1298 0.3234 0.5000
B 0.5541 0.4379 0.5000
B 0.3015 0.2417 0.5000
B 0.7633 0.4245 0.5000
B 0.5197 0.7114 0.5000
B 0.5917 0.0254 0.5000
B 0.6985 0.7583 0.5000
B 0.4803 0.2887 0.5000
B 0.1985 0.7417 0.5000
B 0.0917 0.4746 0.5000
B 0.2633 0.0755 0.5000
B 0.9803 0.2114 0.5000
B 0.6298 0.1766 0.5000
B 0.2367 0.5755 0.5000
B 0.7367 0.9245 0.5000
B 0.3702 0.8234 0.5000
B 0.4459 0.5621 0.5000
B 0.0197 0.7887 0.5000
B 0.0541 0.0621 0.5000
B 0.4083 0.9746 0.5000
B 0.8015 0.2583 0.5000
B 0.8702 0.6766 0.5000
B 0.9083 0.5254 0.5000
B 0.9459 0.9379 0.5000
Mg 0.9486 0.3743 0.0000
Mg 0.6701 0.5886 0.0000
Mg 0.5514 0.8743 0.0000
Mg 0.1701 0.9114 0.0000
Mg 0.3299 0.4114 0.0000
Mg 0.4486 0.1257 0.0000
Mg 0.8299 0.0886 0.0000
Mg 0.0514 0.6257 0.0000

=====

## MgNb2B (PBE-GGA)

Data for MgNb2B after structural relaxation.

Results
The space group is F-43m. The calculated total energy is -25.33 eV for the cell shown.

Lattice parameters (Å, degrees): 4.4393 4.4393 4.4393 60.00 60.00 60.00
Positions (direct):
Mg 0.2500 0.2500 0.2500
Nb 0.0000 0.0000 0.0000
Nb 0.7500 0.7500 0.7500
B 0.5000 0.5000 0.5000

=====

## MgNbNiB (PBE-GGA)

Data for MgNbNiB after structural relaxation.

Results
As for the excess energy over the best structure of this formula in the dataset: 1.32 eV per formula unit. The space group is F-43m. The calculated total energy is -21.88 eV for the cell shown.

Lattice parameters (Å, degrees): 4.1591 4.1591 4.1591 60.00 60.00 60.00
Positions (direct):
Nb 0.2500 0.2500 0.2500
Mg 0.5000 0.5000 0.5000
B 0.0000 0.0000 0.0000
Ni 0.7500 0.7500 0.7500

=====

## MgNbNiB (PBE-GGA)

Data for MgNbNiB after structural relaxation.

Results
As for the excess energy over the best structure of this formula in the dataset: 1.96 eV per formula unit. The space group is F-43m. The calculated total energy is -21.24 eV for the cell shown.

Lattice parameters (Å, degrees): 4.1900 4.1900 4.1900 60.00 60.00 60.00
Positions (direct):
Mg 0.2500 0.2500 0.2500
Nb 0.5000 0.5000 0.5000
Ni 0.7500 0.7500 0.7500
B 0.0000 0.0000 0.0000

=====

## MgNbNiB (PBE-GGA)

Data for MgNbNiB after structural relaxation.

Results
As for the excess energy over the best structure of this formula in the dataset: 0.00 eV per formula unit. The space group is F-43m. The calculated total energy is -23.20 eV for the cell shown.

Lattice parameters (Å, degrees): 4.1854 4.1854 4.1854 60.00 60.00 60.00
Positions (direct):
Nb 0.7500 0.7500 0.7500
B 0.0000 0.0000 0.0000
Ni 0.5000 0.5000 0.5000
Mg 0.2500 0.2500 0.2500

=====

## NdMgB4 (PBE-GGA)

Data for NdMgB4 after structural relaxation.

Results
As for the excess energy over the best structure of this formula in the dataset: 0.00 eV per formula unit. The space group is P6/mmm. The calculated total energy is -34.07 eV for the cell shown.

Lattice parameters (Å, degrees): 3.1921 3.1921 7.6781 90.00 90.00 120.00
Positions (direct):
B 0.6667 0.3333 0.7761
B 0.3333 0.6667 0.7761
B 0.3333 0.6667 0.2239
B 0.6667 0.3333 0.2239
Mg 0.0000 0.0000 0.0000
Nd 0.0000 0.0000 0.5000

=====

## NdMgB4 (PBE-GGA)

Data for NdMgB4 after structural relaxation.

Results
As for the excess energy over the best structure of this formula in the dataset: 0.17 eV per formula unit. The space group is Immm. The calculated total energy is -33.91 eV for the cell shown.

Lattice parameters (Å, degrees): 5.1473 5.1473 5.1473 143.74 115.41 76.38
Positions (direct):
Mg 0.0000 0.0000 0.0000
Nd 0.5000 0.5000 0.0000
B 0.4242 0.7524 0.6718
B 0.0807 0.7524 0.3282
B 0.5758 0.2476 0.3282
B 0.9193 0.2476 0.6718

=====

## MgNiB4 (PBE-GGA)

Data for MgNiB4 after structural relaxation.

Results
As for the excess energy over the best structure of this formula in the dataset: 0.00 eV per formula unit. The space group is Pbam. The calculated total energy is -138.83 eV for the cell shown.

Lattice parameters (Å, degrees): 5.8125 11.1573 3.2181 90.00 90.00 90.00
Positions (direct):
Ni 0.6392 0.4104 0.0000
Ni 0.8608 0.9104 0.0000
Ni 0.3608 0.5896 0.0000
Ni 0.1392 0.0896 0.0000
B 0.3632 0.0288 0.5000
B 0.7077 0.8143 0.5000
B 0.9870 0.1954 0.5000
B 0.0130 0.8046 0.5000
B 0.8632 0.4712 0.5000
B 0.1143 0.9492 0.5000
B 0.3857 0.4492 0.5000
B 0.1368 0.5288 0.5000
B 0.6368 0.9712 0.5000
B 0.2077 0.6857 0.5000
B 0.7923 0.3143 0.5000
B 0.6143 0.5508 0.5000
B 0.2923 0.1857 0.5000
B 0.5130 0.6954 0.5000
B 0.8857 0.0508 0.5000
B 0.4870 0.3046 0.5000
Mg 0.3729 0.8490 0.0000
Mg 0.8730 0.6510 0.0000
Mg 0.6271 0.1510 0.0000
Mg 0.1271 0.3490 0.0000

=====

## MgNiB4 (PBE-GGA)

Data for MgNiB4 after structural relaxation.

Results
As for the excess energy over the best structure of this formula in the dataset: 0.66 eV per formula unit. The space group is P6/mmm. The calculated total energy is -34.04 eV for the cell shown.

Lattice parameters (Å, degrees): 3.0259 3.0259 6.4956 90.00 90.00 120.00
Positions (direct):
B 0.3333 0.6667 0.7292
B 0.6667 0.3333 0.2708
B 0.3333 0.6667 0.2708
B 0.6667 0.3333 0.7292
Mg 0.0000 0.0000 0.0000
Ni 0.0000 0.0000 0.5000

=====

## Mg2NiB (PBE-GGA)

Data for Mg2NiB after structural relaxation.

Results
The space group is F-43m. The calculated total energy is -13.79 eV for the cell shown.

Lattice parameters (Å, degrees): 4.1180 4.1180 4.1180 60.00 60.00 60.00
Positions (direct):
Mg 0.0000 0.0000 0.0000
Mg 0.7500 0.7500 0.7500
B 0.5000 0.5000 0.5000
Ni 0.2500 0.2500 0.2500

=====

## MgNiB4 (PBE-GGA)

Data for MgNiB4 after structural relaxation.

Results
As for the excess energy over the best structure of this formula in the dataset: 0.76 eV per formula unit. The space group is Immm. The calculated total energy is -33.95 eV for the cell shown.

Lattice parameters (Å, degrees): 4.4839 4.4839 4.4839 140.98 108.98 84.14
Positions (direct):
B 0.5868 0.2521 0.3347
B 0.0826 0.7479 0.3347
B 0.4132 0.7479 0.6653
B 0.9174 0.2521 0.6653
Mg 0.0000 0.0000 0.0000
Ni 0.5000 0.5000 0.0000

=====

## MgNi3B (PBE-GGA)

Data for MgNi3B after structural relaxation.

Results
The space group is Cc. The calculated total energy is -52.60 eV for the cell shown.

Lattice parameters (Å, degrees): 5.3872 5.3872 5.4016 118.26 118.26 61.52
Positions (direct):
Ni 0.6251 0.6493 0.8025
Ni 0.1533 0.6482 0.3258
Ni 0.1267 0.1453 0.2985
Ni 0.6493 0.6251 0.3025
Ni 0.6482 0.1533 0.8258
Ni 0.1453 0.1267 0.7985
B 0.9042 0.4044 0.0525
B 0.4044 0.9042 0.5525
Mg 0.1340 0.6362 0.8120
Mg 0.6362 0.1340 0.3120

=====

## MgNiB2 (PBE-GGA)

Data for MgNiB2 after structural relaxation.

Results
The space group is F-43m. The calculated total energy is -16.98 eV for the cell shown.

Lattice parameters (Å, degrees): 3.7766 3.7766 3.7766 60.00 60.00 60.00
Positions (direct):
B 0.0000 0.0000 0.0000
B 0.7500 0.7500 0.7500
Mg 0.2500 0.2500 0.2500
Ni 0.5000 0.5000 0.5000

=====

## MgNiB (PBE-GGA)

Data for MgNiB after structural relaxation.

Results
The space group is F-43m. The calculated total energy is -13.20 eV for the cell shown.

Lattice parameters (Å, degrees): 3.7193 3.7193 3.7193 60.00 60.00 60.00
Positions (direct):
B 0.0000 0.0000 0.0000
Ni 0.7500 0.7500 0.7500
Mg 0.2500 0.2500 0.2500

=====

## MgNiBPd (PBE-GGA)

Data for MgNiBPd after structural relaxation.

Results
As for the excess energy over the best structure of this formula in the dataset: 0.48 eV per formula unit. The space group is F-43m. The calculated total energy is -18.06 eV for the cell shown.

Lattice parameters (Å, degrees): 4.0958 4.0958 4.0958 60.00 60.00 60.00
Positions (direct):
Ni 0.5000 0.5000 0.5000
Pd 0.7500 0.7500 0.7500
B 0.0000 0.0000 0.0000
Mg 0.2500 0.2500 0.2500